[1]
Mg5H3Ir2 | Alexandria via LeMat-Bulk | PBE-GGA | optimized geometry; relative energy among the computed polymorphs = 11 meV per atom
1.0
5.451 0.004 0.135
0.779 5.395 -0.135
0.004 -0.004 4.759
Mg H Ir
5 3 2
Cartesian
4.674 0.046 3.979 Mg
3.033 3.526 3.706 Mg
4.581 1.739 1.681 Mg
1.370 3.859 1.407 Mg
1.894 0.978 0.314 Mg
4.416 3.164 0.314 H
1.202 1.852 2.776 H
2.664 0.165 2.610 H
5.763 2.734 3.969 Ir
4.186 4.555 1.418 Ir



[2]
Tb5NdHo7 | Alexandria via LeMat-Bulk | PBE-GGA | optimized geometry; relative energy among the computed polymorphs = 3 meV per atom
1.0
6.668 0.000 0.000
3.334 8.007 0.173
3.334 0.148 8.008
Tb Nd Ho
5 1 7
Cartesian
8.224 8.063 4.487 Tb
11.781 8.063 4.487 Tb
8.224 4.461 8.077 Tb
11.781 4.461 8.077 Tb
10.002 6.247 6.267 Tb
6.668 7.901 7.927 Nd
6.668 2.213 2.220 Ho
6.668 4.695 4.710 Ho
10.002 2.895 5.566 Ho
10.002 5.556 2.913 Ho
3.334 2.209 2.216 Ho
6.668 6.841 1.656 Ho
6.668 1.634 6.846 Ho



[3]
Tb3ErBi2C | Alexandria via LeMat-Bulk | PBE-GGA | optimized geometry; calculated total energy = -5.716 eV per atom
1.0
4.815 0.000 0.000
0.000 4.884 0.000
-2.408 -2.442 8.041
Tb Er Bi C
3 1 2 1
Cartesian
0.000 2.442 0.000 Tb
0.000 0.000 2.464 Tb
2.408 2.442 5.576 Tb
2.408 0.000 0.000 Er
2.408 2.442 2.312 Bi
0.000 0.000 5.729 Bi
0.000 0.000 0.000 C



[4]
SbAu | Alexandria via LeMat-Bulk | PBE-GGA | optimized geometry; raw formation energy = -0.027 eV/atom
1.0
6.486 -0.152 0.665
5.291 3.755 0.665
3.268 1.000 6.122
Au Sb
3 3
Cartesian
3.564 1.091 5.585 Au
5.237 1.603 1.889 Au
7.782 2.381 3.073 Au
10.346 3.166 4.349 Sb
13.035 3.989 5.484 Sb
2.661 0.814 0.731 Sb



[5]
NdScCd4 | Alexandria via LeMat-Bulk | PBE-GGA | optimized geometry; relative energy among the computed polymorphs = 59 meV per atom
1.0
5.881 0.000 0.000
2.941 5.093 0.000
2.941 1.698 4.802
Sc Nd Cd
1 1 4
Cartesian
0.000 0.000 0.000 Sc
2.941 1.698 1.201 Nd
5.881 3.396 0.597 Cd
5.881 1.695 3.002 Cd
7.354 4.246 3.002 Cd
4.409 4.246 3.002 Cd



[6]
HfOsSe2 | Alexandria via LeMat-Bulk | PBE-GGA | optimized geometry; raw formation energy = -0.022 eV/atom; relative energy among the computed polymorphs = 75 meV per atom
1.0
2.478 -2.413 3.003
2.134 2.134 3.446
-1.493 -0.532 4.298
Hf Os Se
1 1 2
Cartesian
0.000 0.000 0.000 Hf
1.560 -0.405 5.374 Os
0.780 -0.203 2.687 Se
2.340 -0.608 8.061 Se